Below is Gd2CuS3 after structural relaxation, with properties calculated at the PBE-GGA level.

Values from the calculation:
ρ   6.41 g/cm³
Space group   Cmcm (63)
M_tot   0.01 μB/f.u.
Uncorrected energy   -5.79 eV per atom

Geometry as POSCAR:
```
Gd2CuS3
1.0
1.893 -6.312 0.000
1.893 6.312 0.000
0.000 0.000 10.278
Cu Gd S
2 4 6
direct
0.479 0.521 0.250
0.521 0.479 0.750
0.000 0.000 0.000
0.767 0.233 0.250
0.000 0.000 0.500
0.233 0.767 0.750
0.355 0.645 0.081
0.093 0.907 0.250
0.355 0.645 0.419
0.645 0.355 0.581
0.907 0.093 0.750
0.645 0.355 0.919
```

=====

Below is TlCoBi2 after structural relaxation, with properties calculated at the PBE-GGA level.

Values from the calculation:
ρ   11.04 g/cm³
Space group   F-43m (216)
M_tot   1.55 μB/f.u.
Uncorrected energy   -3.76 eV per atom

Geometry as POSCAR:
```
TlCoBi2
1.0
0.000 3.714 3.714
3.714 0.000 3.714
3.714 3.714 0.000
Bi Co Tl
2 1 1
direct
0.000 0.000 0.000
0.750 0.750 0.750
0.250 0.250 0.250
0.500 0.500 0.500
```

=====

Below is Hf2ZrFe2 after structural relaxation, with properties calculated at the PBE-GGA level.

Values from the calculation:
ρ   10.24 g/cm³
Space group   I4/mmm (139)
M_tot   0.02 μB/f.u.
Uncorrected energy   -8.98 eV per atom
Formation enthalpy at 0 K   0.0378 eV/atom

Geometry as POSCAR:
```
Hf2ZrFe2
1.0
-4.778 3.315 1.304
-4.144 1.077 -4.146
2.997 -4.634 2.252
Fe Hf Zr
2 2 1
direct
0.400 0.400 0.000
0.600 0.600 0.000
0.750 0.250 0.500
0.250 0.750 0.500
0.000 0.000 0.000
```

=====

Below is Fe2Se after structural relaxation, with properties calculated at the PBE-GGA level.

Values from the calculation:
ρ   6.39 g/cm³
Space group   P4_2/mnm (136)
M_tot   4.88 μB/f.u.
Uncorrected energy   -6.18 eV per atom
Energy above the lowest structure with this stoichiometry   190 meV/atom

Geometry as POSCAR:
```
Fe2Se
1.0
-3.105 3.493 1.868
-3.092 -0.654 -3.917
-1.923 -2.768 1.980
Fe Se
4 2
direct
0.326 0.326 0.000
0.674 0.674 0.000
0.826 0.174 0.500
0.174 0.826 0.500
0.000 0.000 0.000
0.500 0.500 0.500
```